1.
Here is ScB4Os after structural relaxation from OQMD via LeMat-Bulk. Energies are from GGA-PBE.

POSCAR file:
```
ScB4Os
1.0
-2.2899 -2.6679 2.8375
-1.3414 3.3431 2.7272
-0.6145 -1.4570 -4.2323
B Os Sc
4 1 1
Direct
0.5775 0.2448 0.3327 B
0.0879 0.7552 0.3327 B
0.9121 0.2448 0.6673 B
0.4225 0.7552 0.6673 B
0.0000 0.0000 0.0000 Os
0.5000 0.5000 0.0000 Sc
```

Values from the calculation:
**Energy above the most stable polymorph in this dataset**: 0.2184 eV per atom

2.
Here is SiB4Os after structural relaxation from OQMD via LeMat-Bulk. Energies are from GGA-PBE.

POSCAR file:
```
SiB4Os
1.0
2.9915 0.0000 0.0000
-1.4957 2.5907 0.0000
0.0000 0.0000 6.7404
B Os Si
4 1 1
Direct
0.6667 0.3333 0.2413 B
0.3333 0.6667 0.2413 B
0.6667 0.3333 0.7587 B
0.3333 0.6667 0.7587 B
0.0000 0.0000 0.5000 Os
0.0000 0.0000 0.0000 Si
```

Values from the calculation:
**Energy above the most stable polymorph in this dataset**: 0.0482 eV per atom

3.
Here is SiB4Os after structural relaxation from OQMD via LeMat-Bulk. Energies are from GGA-PBE.

POSCAR file:
```
SiB4Os
1.0
-1.4931 2.6515 3.2967
1.4931 -2.6515 3.2967
1.4931 2.6515 -3.2967
B Os Si
4 1 1
Direct
0.5977 0.2617 0.3360 B
0.0743 0.7383 0.3360 B
0.9257 0.2617 0.6640 B
0.4023 0.7383 0.6640 B
0.5000 0.5000 0.0000 Os
0.0000 0.0000 0.0000 Si
```

Values from the calculation:
**Energy above the most stable polymorph in this dataset**: 0.0000 eV per atom

4.
Here is Si2B2Os after structural relaxation from OQMD via LeMat-Bulk. Energies are from GGA-PBE.

POSCAR file:
```
Si2B2Os
1.0
5.2560 1.2427 3.3432
-1.2378 1.2580 6.1018
-1.6895 -4.6778 -3.9511
B Os Si
4 2 4
Direct
0.3750 0.6250 0.2500 B
0.8750 0.6250 0.2500 B
0.3750 0.1250 0.7500 B
0.3750 0.6250 0.7500 B
0.0000 0.0000 0.0000 Os
0.7500 0.2500 0.5000 Os
0.2308 0.2308 0.0000 Si
0.7692 0.7692 0.0000 Si
0.5192 0.0192 0.5000 Si
0.9808 0.4808 0.5000 Si
```

Values from the calculation:
**E_tot**: -6.022 eV per atom

5.
Here is TaBOs after structural relaxation from OQMD via LeMat-Bulk. Energies are from GGA-PBE.

POSCAR file:
```
TaBOs
1.0
5.8270 0.0000 0.0000
0.0000 4.4160 0.0000
0.0000 0.0000 6.1272
B Os Ta
4 4 4
Direct
0.6612 0.7500 0.0389 B
0.1612 0.7500 0.4611 B
0.8388 0.2500 0.5389 B
0.3388 0.2500 0.9611 B
0.3045 0.7500 0.1326 Os
0.8045 0.7500 0.3674 Os
0.1955 0.2500 0.6326 Os
0.6955 0.2500 0.8674 Os
0.0046 0.2500 0.1767 Ta
0.5046 0.2500 0.3233 Ta
0.4954 0.7500 0.6767 Ta
0.9954 0.7500 0.8233 Ta
```

Values from the calculation:
**Energy above the most stable polymorph in this dataset**: 0.3027 eV per atom

6.
Here is TaB4Os after structural relaxation from OQMD via LeMat-Bulk. Energies are from GGA-PBE.

POSCAR file:
```
TaB4Os
1.0
3.0688 0.0000 0.0000
-1.5344 2.6576 0.0000
0.0000 0.0000 6.6487
B Os Ta
4 1 1
Direct
0.6667 0.3333 0.2508 B
0.3333 0.6667 0.2508 B
0.6667 0.3333 0.7492 B
0.3333 0.6667 0.7492 B
0.0000 0.0000 0.5000 Os
0.0000 0.0000 0.0000 Ta
```

Values from the calculation:
**Energy above the most stable polymorph in this dataset**: 0.0181 eV per atom

7.
Here is TaBOs2 after structural relaxation from OQMD via LeMat-Bulk. Energies are from GGA-PBE.

POSCAR file:
```
TaBOs2
1.0
0.0000 3.0310 3.0310
3.0310 0.0000 3.0310
3.0310 3.0310 0.0000
B Os Ta
1 2 1
Direct
0.5000 0.5000 0.5000 B
0.0000 0.0000 0.0000 Os
0.7500 0.7500 0.7500 Os
0.2500 0.2500 0.2500 Ta
```

Values from the calculation:
**E_tot**: -9.566 eV per atom

8.
Here is TaBOs after structural relaxation from OQMD via LeMat-Bulk. Energies are from GGA-PBE.

POSCAR file:
```
TaBOs
1.0
-3.2687 1.3001 2.1070
-3.5767 0.5837 -1.9187
-3.1381 -2.5468 0.6933
B Os Ta
1 1 1
Direct
0.2500 0.2500 0.2500 B
0.7500 0.7500 0.7500 Os
0.0000 0.0000 0.0000 Ta
```

Values from the calculation:
**Energy above the most stable polymorph in this dataset**: 1.3482 eV per atom